(1)
{
  "formula": "SrPtSe2",
  "functional": "PBE",
  "state": "relaxed",
  "de_polymorph_ev_per_fu": 2.005,
  "magmom_total_mub_per_atom": 0.000,
  "space_group": "I-4m2, No. 119",
  "raw_formation_energy_ev_per_atom": -0.510,
  "cell": [[-4.3119, 2.2820, -3.4965], [-5.7395, -1.6476, 0.6070], [4.6081, 1.8479, 3.3728]],
  "species": ["Se", "Sr", "Se", "Pt"],
  "fractional_positions": [[0.0000, 0.0000, 0.0000], [0.5000, 0.5000, 0.0000], [0.2500, 0.7500, 0.5000], [0.7500, 0.2500, 0.5000]]
}

---

(2)
{
  "formula": "InCCl2",
  "functional": "PBE",
  "state": "relaxed",
  "de_polymorph_ev_per_fu": 1.405,
  "magmom_total_mub_per_atom": 0.293,
  "space_group": "Fm-3m, No. 225",
  "raw_formation_energy_ev_per_atom": 1.293,
  "cell": [[0.2434, -4.8095, -0.8377], [-0.4209, -3.1518, 3.7124], [-4.0123, -2.7601, 0.4197]],
  "species": ["In", "Cl", "Cl", "C"],
  "fractional_positions": [[0.5000, 0.5000, 0.5000], [0.7500, 0.7500, 0.7500], [0.2500, 0.2500, 0.2500], [0.0000, 0.0000, 0.0000]]
}

---

(3)
{
  "formula": "CaAg3P",
  "functional": "PBE",
  "state": "relaxed",
  "de_polymorph_ev_per_fu": 6.222,
  "magmom_total_mub_per_atom": 0.000,
  "space_group": "Pm-3m, No. 221",
  "cell": [[-1.5265, 4.9584, -0.7683], [-4.6176, -1.7025, -1.8128], [-1.9632, 0.1488, 4.8611]],
  "species": ["Ag", "P", "Ca", "Ag", "Ag"],
  "fractional_positions": [[0.5000, 0.0000, 0.0000], [0.5000, 0.5000, 0.5000], [0.0000, 0.0000, 0.0000], [0.0000, 0.5000, 0.0000], [0.0000, 0.0000, 0.5000]]
}

---

(4)
{
  "formula": "DyTh4O10",
  "functional": "PBE",
  "state": "relaxed",
  "magmom_total_mub_per_atom": 0.073,
  "space_group": "R-3m, No. 166",
  "raw_formation_energy_ev_per_atom": -3.656,
  "cell": [[-0.7356, 0.3563, -3.8728], [-2.0916, -2.7841, -1.8815], [-14.5005, 7.1417, 1.3886]],
  "species": ["O", "Th", "O", "O", "Dy", "Th", "O", "Th", "O", "O", "O", "O", "O", "Th", "O"],
  "fractional_positions": [[0.3488, 0.3488, 0.9537], [0.3984, 0.3984, 0.8047], [0.6512, 0.6512, 0.0463], [0.0489, 0.0489, 0.8533], [0.0000, 0.0000, 0.0000], [0.2005, 0.2005, 0.3985], [0.5507, 0.5507, 0.3479], [0.7995, 0.7995, 0.6015], [0.2510, 0.2510, 0.2470], [0.8502, 0.8502, 0.4494], [0.1498, 0.1498, 0.5506], [0.9511, 0.9511, 0.1467], [0.4493, 0.4493, 0.6521], [0.6016, 0.6016, 0.1953], [0.7490, 0.7490, 0.7530]]
}

---

(5)
{
  "formula": "BeSiAu2",
  "functional": "PBE",
  "state": "relaxed",
  "magmom_total_mub_per_atom": 0.000,
  "space_group": "Cm, No. 8",
  "raw_formation_energy_ev_per_atom": 0.109,
  "cell": [[-1.6178, 1.5384, 3.9277], [-4.0411, 1.2862, 1.5575], [-1.3785, -3.8051, 1.8142]],
  "species": ["Au", "Si", "Au", "Be"],
  "fractional_positions": [[0.7579, 0.7579, 0.6701], [0.2580, 0.2580, 0.2309], [0.9989, 0.9989, 0.0321], [0.4851, 0.4851, 0.5668]]
}

---

(6)
{
  "formula": "TaTc2As",
  "functional": "PBE",
  "state": "relaxed",
  "energy_ev_per_cell": -37.081,
  "magmom_total_mub_per_atom": 0.000,
  "space_group": "P2/m, No. 10",
  "cell": [[4.3786, 0.0000, 0.0000], [0.0000, 2.8881, -0.0303], [0.0000, 0.4584, 4.9668]],
  "species": ["Tc", "As", "Ta", "Tc"],
  "fractional_positions": [[0.0000, 0.4498, 0.4975], [0.5000, 0.2500, 0.2500], [0.5000, 0.7500, 0.7500], [0.0000, 0.0502, 0.0025]]
}

---

(7)
{
  "formula": "Ti2Nb2Al3",
  "functional": "PBE",
  "state": "relaxed",
  "de_polymorph_ev_per_fu": 0.000,
  "magmom_total_mub_per_atom": 0.000,
  "space_group": "Cmmm, No. 65",
  "cell": [[-0.7735, 1.5386, 4.1018], [0.4100, -2.5407, 1.0303], [8.9874, 2.7044, 3.0929]],
  "species": ["Ti", "Al", "Ti", "Nb", "Nb", "Al", "Al"],
  "fractional_positions": [[0.4302, 0.5000, 0.1395], [0.0000, 0.0000, 0.0000], [0.5698, 0.5000, 0.8605], [0.7098, 0.5000, 0.5804], [0.2902, 0.5000, 0.4196], [0.8524, 0.0000, 0.2951], [0.1476, 0.0000, 0.7049]]
}

---

(8)
{
  "formula": "KZnSiPt",
  "functional": "PBE",
  "state": "relaxed",
  "magmom_total_mub_per_atom": 0.000,
  "space_group": "Cm, No. 8",
  "raw_formation_energy_ev_per_atom": -0.375,
  "cell": [[-2.8784, -0.5658, 3.0806], [3.3122, -2.6489, -0.3285], [4.0895, 4.9117, 1.8049]],
  "species": ["Pt", "Zn", "K", "Si"],
  "fractional_positions": [[0.7801, 0.2547, 0.0348], [0.0359, 0.8824, 0.9182], [0.4085, 0.0695, 0.4780], [0.4676, 0.5979, 0.0655]]
}

---

(9)
{
  "formula": "B5C7",
  "functional": "PBE",
  "state": "relaxed",
  "de_polymorph_ev_per_fu": 1.724,
  "magmom_total_mub_per_atom": 0.000,
  "space_group": "Pmm2, No. 25",
  "cell": [[-0.1432, -1.7127, 1.9296], [3.9860, -0.1051, 0.2025], [-0.1071, 5.7388, 5.0857]],
  "species": ["C", "C", "B", "C", "B", "B", "C", "B", "C", "C", "C", "B"],
  "fractional_positions": [[0.0000, 0.2430, 0.8197], [0.0000, 0.2430, 0.1803], [0.5000, 0.4792, 0.5000], [0.5000, 0.7776, 0.6691], [0.0000, 0.0598, 0.0000], [0.5000, 0.4696, 0.1948], [0.0000, 0.9951, 0.3378], [0.5000, 0.7692, 0.0000], [0.0000, 0.9951, 0.6622], [0.0000, 0.2212, 0.5000], [0.5000, 0.7776, 0.3309], [0.5000, 0.4696, 0.8052]]
}

---

(10)
{
  "formula": "Na3Pr2S4",
  "functional": "PBE",
  "state": "relaxed",
  "magmom_total_mub_per_atom": 0.000,
  "space_group": "P-3m1, No. 164",
  "raw_formation_energy_ev_per_atom": -1.556,
  "cell": [[-3.2152, -1.0690, -2.3734], [0.5875, -1.8599, 3.6482], [-9.3999, 11.6813, 7.4621]],
  "species": ["S", "Na", "Pr", "Na", "S", "S", "S", "Na", "Pr"],
  "fractional_positions": [[0.0004, 0.9996, 0.7024], [0.6663, 0.3337, 0.3969], [0.6670, 0.3330, 0.8000], [0.3337, 0.6663, 0.6031], [0.9996, 0.0004, 0.2976], [0.3336, 0.6664, 0.8940], [0.6664, 0.3336, 0.1060], [0.0000, 0.0000, 0.0000], [0.3330, 0.6670, 0.2000]]
}

---

(11)
{
  "formula": "KHIrCl",
  "functional": "PBE",
  "state": "relaxed",
  "de_polymorph_ev_per_fu": 0.595,
  "magmom_total_mub_per_atom": 0.000,
  "space_group": "Cm, No. 8",
  "cell": [[5.9744, 0.0000, -0.0015], [0.0000, 4.5075, 0.0000], [-3.1884, 0.0000, 6.0648]],
  "species": ["Cl", "Ir", "H", "Cl", "Ir", "K", "H", "K"],
  "fractional_positions": [[0.5042, 0.0000, 0.3151], [0.4359, 0.5000, 0.2035], [0.3589, 0.0000, 0.8926], [0.5042, 0.5000, 0.8151], [0.4359, 0.0000, 0.7035], [0.9417, 0.5000, 0.6892], [0.3589, 0.5000, 0.3926], [0.9417, 0.0000, 0.1892]]
}

---

(12)
{
  "formula": "ScFe2ReGe",
  "functional": "PBE",
  "state": "relaxed",
  "energy_ev_per_cell": -36.476,
  "magmom_total_mub_per_atom": 0.825,
  "space_group": "P4/mmm, No. 123",
  "cell": [[4.5947, 0.0000, 0.0000], [0.0000, 4.6857, 0.0000], [0.0000, 0.0000, 4.5947]],
  "species": ["Ge", "Sc", "Fe", "Fe", "Re"],
  "fractional_positions": [[0.0000, 0.5000, 0.0000], [0.5000, 0.5000, 0.5000], [0.0000, 0.0000, 0.5000], [0.5000, 0.0000, 0.0000], [0.0000, 0.0000, 0.0000]]
}

---

(13)
{
  "formula": "HfNbCl2",
  "functional": "PBE",
  "state": "relaxed",
  "de_polymorph_ev_per_fu": 0.000,
  "magmom_total_mub_per_atom": 0.000,
  "space_group": "R-3m, No. 166",
  "raw_formation_energy_ev_per_atom": -0.476,
  "cell": [[-3.5808, -7.9471, 2.6891], [-1.8147, -7.2933, 5.1695], [-4.6751, -6.0847, 4.9325]],
  "species": ["Hf", "Cl", "Cl", "Nb"],
  "fractional_positions": [[0.5000, 0.5000, 0.5000], [0.9048, 0.9048, 0.9048], [0.0952, 0.0952, 0.0952], [0.0000, 0.0000, 0.0000]]
}

---

(14)
{
  "formula": "SmDy4Zn",
  "functional": "PBE",
  "state": "relaxed",
  "de_polymorph_ev_per_fu": 0.000,
  "magmom_total_mub_per_atom": 0.000,
  "space_group": "P4/mmm, No. 123",
  "cell": [[-1.2419, 3.0649, 1.3346], [-0.4530, -1.5649, 3.1722], [12.7160, 3.5905, 3.5869]],
  "species": ["Sm", "Dy", "Dy", "Zn", "Dy", "Dy"],
  "fractional_positions": [[0.0000, 0.0000, 0.0000], [0.0000, 0.0000, 0.6290], [0.0000, 0.0000, 0.3710], [0.5000, 0.5000, 0.5000], [0.5000, 0.5000, 0.1853], [0.5000, 0.5000, 0.8147]]
}

---

(15)
{
  "formula": "PtRh2W",
  "functional": "PBE",
  "state": "relaxed",
  "de_polymorph_ev_per_fu": 0.336,
  "magmom_total_mub_per_atom": 0.000,
  "space_group": "C2/m, No. 12",
  "cell": [[-2.5233, -1.9822, -3.5554], [-0.9337, -0.0413, -4.6971], [3.1164, -3.3758, -1.3997]],
  "species": ["Pt", "W", "Rh", "Rh"],
  "fractional_positions": [[0.5000, 0.5000, 0.0000], [0.0000, 0.0000, 0.5000], [0.2540, 0.2540, 0.7438], [0.7460, 0.7460, 0.2562]]
}

---

(16)
{
  "formula": "Er12Ru6Pb",
  "functional": "PBE",
  "state": "relaxed",
  "energy_ev_per_cell": -120.485,
  "magmom_total_mub_per_atom": 0.000,
  "space_group": "Im-3, No. 204",
  "cell": [[-2.4529, -4.4668, -6.7565], [2.4123, -5.2865, 6.1525], [-6.4472, 4.7531, 2.7316]],
  "species": ["Er", "Er", "Ru", "Ru", "Ru", "Er", "Pb", "Ru", "Er", "Er", "Ru", "Er", "Ru", "Er", "Er", "Er", "Er", "Er", "Er"],
  "fractional_positions": [[0.1023, 0.8057, 0.2966], [0.7034, 0.8977, 0.1943], [0.1249, 0.6249, 0.5000], [0.5000, 0.1249, 0.6249], [0.8751, 0.3751, 0.5000], [0.5091, 0.8057, 0.7034], [0.0000, 0.0000, 0.0000], [0.3751, 0.5000, 0.8751], [0.8057, 0.7034, 0.5091], [0.1943, 0.2966, 0.4909], [0.5000, 0.8751, 0.3751], [0.8977, 0.1943, 0.7034], [0.6249, 0.5000, 0.1249], [0.7034, 0.5091, 0.8057], [0.1943, 0.7034, 0.8977], [0.2966, 0.1023, 0.8057], [0.8057, 0.2966, 0.1023], [0.4909, 0.1943, 0.2966], [0.2966, 0.4909, 0.1943]]
}

---

(17)
{
  "formula": "PHICl2",
  "functional": "PBE",
  "state": "relaxed",
  "de_polymorph_ev_per_fu": 1.608,
  "magmom_total_mub_per_atom": 0.596,
  "space_group": "P4/mmm, No. 123",
  "cell": [[5.5751, 0.0000, 0.0000], [0.0000, 5.5751, 0.0000], [0.0000, 0.0000, 5.4688]],
  "species": ["Cl", "Cl", "I", "P", "H"],
  "fractional_positions": [[0.0000, 0.5000, 0.0000], [0.5000, 0.0000, 0.0000], [0.0000, 0.0000, 0.0000], [0.0000, 0.0000, 0.5000], [0.5000, 0.5000, 0.5000]]
}

---

(18)
{
  "formula": "Gd2CoAu",
  "functional": "PBE",
  "state": "relaxed",
  "energy_ev_per_cell": -38.469,
  "magmom_total_mub_per_atom": 3.544,
  "space_group": "R-3m, No. 166",
  "cell": [[-1.0908, 3.5646, 0.8672], [-2.8166, 0.5783, 2.5260], [4.5881, 1.5976, 7.6498]],
  "species": ["Gd", "Au", "Gd", "Co"],
  "fractional_positions": [[0.8900, 0.8900, 0.3301], [0.0000, 0.0000, 0.0000], [0.1100, 0.1100, 0.6699], [0.5000, 0.5000, 0.5000]]
}

---

(19)
{
  "formula": "LiY2Mo",
  "functional": "PBE",
  "state": "relaxed",
  "de_polymorph_ev_per_fu": 0.750,
  "magmom_total_mub_per_atom": 0.000,
  "space_group": "R-3m, No. 166",
  "cell": [[-5.8735, 5.6629, -6.0085], [-8.2033, 3.3183, -4.9359], [-7.5169, 6.1067, -2.9789]],
  "species": ["Y", "Mo", "Li", "Y"],
  "fractional_positions": [[0.0131, 0.0131, 0.0131], [0.7500, 0.7500, 0.7500], [0.2500, 0.2500, 0.2500], [0.4869, 0.4869, 0.4869]]
}

---

(20)
{
  "formula": "BaAu2F8",
  "functional": "PBE",
  "state": "relaxed",
  "magmom_total_mub_per_atom": 0.367,
  "space_group": "P4/mmm, No. 123",
  "raw_formation_energy_ev_per_atom": -1.503,
  "cell": [[5.4261, 0.0000, 0.0000], [0.0000, 5.4261, 0.0000], [0.0000, 0.0000, 6.2939]],
  "species": ["Au", "F", "F", "F", "F", "F", "F", "Au", "F", "F", "Ba"],
  "fractional_positions": [[0.0000, 0.5000, 0.0000], [0.2502, 0.7498, 0.2004], [0.7498, 0.2502, 0.2004], [0.7498, 0.7498, 0.7996], [0.2502, 0.2502, 0.2004], [0.7498, 0.2502, 0.7996], [0.2502, 0.2502, 0.7996], [0.5000, 0.0000, 0.0000], [0.7498, 0.7498, 0.2004], [0.2502, 0.7498, 0.7996], [0.5000, 0.5000, 0.5000]]
}

---

(21)
{
  "formula": "SbAuC3",
  "functional": "PBE",
  "state": "relaxed",
  "de_polymorph_ev_per_fu": 0.259,
  "magmom_total_mub_per_atom": 0.000,
  "space_group": "Pm-3m, No. 221",
  "raw_formation_energy_ev_per_atom": 2.974,
  "cell": [[4.2530, 0.0000, 0.0000], [0.0000, 4.2530, 0.0000], [0.0000, 0.0000, 4.2530]],
  "species": ["C", "C", "Sb", "Au", "C"],
  "fractional_positions": [[0.5000, 0.0000, 0.0000], [0.0000, 0.0000, 0.5000], [0.0000, 0.0000, 0.0000], [0.5000, 0.5000, 0.5000], [0.0000, 0.5000, 0.0000]]
}

---

(22)
{
  "formula": "ScCrI3",
  "functional": "PBE",
  "state": "relaxed",
  "magmom_total_mub_per_atom": 1.197,
  "space_group": "Pm-3m, No. 221",
  "raw_formation_energy_ev_per_atom": 0.067,
  "cell": [[-0.2413, -2.3634, -5.0192], [-0.7965, -4.9571, 2.3724], [-5.4903, 0.8230, -0.1236]],
  "species": ["Cr", "I", "I", "I", "Sc"],
  "fractional_positions": [[0.0000, 0.0000, 0.0000], [0.0000, 0.0000, 0.5000], [0.0000, 0.5000, 0.0000], [0.5000, 0.0000, 0.0000], [0.5000, 0.5000, 0.5000]]
}

---

(23)
{
  "formula": "SnOs3F",
  "functional": "PBE",
  "state": "relaxed",
  "de_polymorph_ev_per_fu": 6.177,
  "magmom_total_mub_per_atom": 1.335,
  "space_group": "Pm-3m, No. 221",
  "raw_formation_energy_ev_per_atom": 2.781,
  "cell": [[4.9787, 0.0000, 0.0000], [0.0000, 4.9787, 0.0000], [0.0000, 0.0000, 4.9787]],
  "species": ["Os", "F", "Sn", "Os", "Os"],
  "fractional_positions": [[0.5000, 0.0000, 0.0000], [0.5000, 0.5000, 0.5000], [0.0000, 0.0000, 0.0000], [0.0000, 0.5000, 0.0000], [0.0000, 0.0000, 0.5000]]
}

---

(24)
{
  "formula": "MnCN",
  "functional": "PBE",
  "state": "relaxed",
  "de_polymorph_ev_per_fu": 0.749,
  "magmom_total_mub_per_atom": 1.333,
  "space_group": "I4mm, No. 107",
  "raw_formation_energy_ev_per_atom": 0.603,
  "cell": [[3.9232, 0.0000, 0.0000], [0.0000, 3.9232, 0.0000], [-1.9616, -1.9616, 2.5824]],
  "species": ["C", "Mn", "N"],
  "fractional_positions": [[0.3336, 0.3336, 0.6671], [0.9480, 0.9480, 0.8960], [0.5684, 0.5684, 0.1369]]
}

---

(25)
{
  "formula": "SrGe2PdI",
  "functional": "PBE",
  "state": "relaxed",
  "magmom_total_mub_per_atom": 0.000,
  "space_group": "P4/mmm, No. 123",
  "raw_formation_energy_ev_per_atom": 0.765,
  "cell": [[-3.3250, 2.5298, 3.5216], [-1.3853, -5.2727, 2.4797], [4.1478, 0.5621, 3.5125]],
  "species": ["Pd", "Ge", "Sr", "I", "Ge"],
  "fractional_positions": [[0.5000, 0.5000, 0.5000], [0.5000, 0.0000, 0.0000], [0.0000, 0.5000, 0.0000], [0.0000, 0.0000, 0.0000], [0.0000, 0.0000, 0.5000]]
}

---

(26)
{
  "formula": "HfNi2Hg",
  "functional": "PBE",
  "state": "relaxed",
  "energy_ev_per_cell": -41.973,
  "magmom_total_mub_per_atom": 0.000,
  "space_group": "I-42d, No. 122",
  "cell": [[7.0090, 0.0000, 0.0000], [0.0000, 7.0090, 0.0000], [3.5045, 3.5045, 2.8194]],
  "species": ["Hf", "Ni", "Hg", "Hg", "Ni", "Ni", "Ni", "Hf"],
  "fractional_positions": [[0.5000, 0.5000, 0.0000], [0.1373, 0.6250, 0.2500], [0.0000, 0.0000, 0.0000], [0.7500, 0.2500, 0.5000], [0.6127, 0.1250, 0.2500], [0.8750, 0.8627, 0.7500], [0.3750, 0.3873, 0.7500], [0.2500, 0.7500, 0.5000]]
}